[1]
First-principles (PBE) data for a relaxed BaCdHg14 crystal, as listed in Alexandria via LeMat-Bulk.

Cell lengths 11.9557, 10.8486, 10.8486 Å; angles 80.59, 56.56, 56.56 degrees
With the nearest neighbours (Å) after each atom.
Positions (direct):
Cd: 0.5000 0.0000 0.5000  8 Hg 3.08-3.44
Cd: 0.0000 0.0000 0.5000  8 Hg 3.08-3.44
Hg: 0.7751 0.5565 0.2274  6 Hg 3.11-3.30
Hg: 0.3679 0.9432 0.8239  6 Hg 2.97-3.30, 1 Cd 3.08
Hg: 0.8958 0.8749 0.3335  4 Hg 2.96-3.27
Hg: 0.3884 0.0514 0.1718  5 Hg 2.96-3.17
Hg: 0.6042 0.1665 0.6251  4 Hg 2.96-3.27
Hg: 0.1321 0.6761 0.5568  6 Hg 2.97-3.30, 1 Cd 3.08
Hg: 0.4410 0.5565 0.2274  6 Hg 3.11-3.30
Hg: 0.0590 0.2726 0.9435  6 Hg 3.11-3.30
Hg: 0.3650 0.3239 0.4432  6 Hg 2.97-3.30, 1 Cd 3.08
Hg: 0.6116 0.9486 0.8282  5 Hg 2.96-3.17
Hg: 0.8884 0.6718 0.5514  5 Hg 2.96-3.17
Hg: 0.6321 0.0568 0.1761  6 Hg 2.97-3.30, 1 Cd 3.08
Hg: 0.1042 0.1251 0.6665  4 Hg 2.96-3.27
Hg: 0.6350 0.6761 0.5568  6 Hg 2.97-3.30, 1 Cd 3.08
Hg: 0.1350 0.0568 0.1761  6 Hg 2.97-3.30, 1 Cd 3.08
Hg: 0.9410 0.7274 0.0565  6 Hg 3.11-3.30
Hg: 0.2751 0.7274 0.0565  6 Hg 3.11-3.30
Hg: 0.2249 0.4435 0.7726  6 Hg 3.11-3.30
Hg: 0.1116 0.3282 0.4486  5 Hg 2.96-3.17
Hg: 0.6259 0.3623 0.3859  5 Hg 2.84-3.08
Hg: 0.8679 0.3239 0.4432  6 Hg 2.97-3.30, 1 Cd 3.08
Hg: 0.8741 0.1141 0.1377  5 Hg 2.84-3.08
Hg: 0.3741 0.6377 0.6141  5 Hg 2.84-3.08
Hg: 0.7249 0.2726 0.9435  6 Hg 3.11-3.30
Hg: 0.8650 0.9432 0.8239  6 Hg 2.97-3.30, 1 Cd 3.08
Hg: 0.5590 0.4435 0.7726  6 Hg 3.11-3.30
Hg: 0.3958 0.8335 0.3749  4 Hg 2.96-3.27
Hg: 0.1259 0.8859 0.8623  5 Hg 2.84-3.08
Ba: 0.7500 0.5891 0.9108  6 Hg 3.48-3.55
Ba: 0.2500 0.4108 0.0891  6 Hg 3.48-3.55

The crystal system is orthorhombic. The space group is Imma.

---

[2]
First-principles (PBE) data for a relaxed BaCd2Hg5 crystal, as listed in Alexandria via LeMat-Bulk.

Cell lengths 8.2517, 8.2517, 8.9467 Å; angles 117.46, 117.46, 90.00 degrees
With the nearest neighbours (Å) after each atom.
Positions (direct):
Hg: 0.0000 0.0000 0.0000  4 Cd 3.08, 2 Ba 3.39
Hg: 0.9851 0.4851 0.7034  3 Cd 3.10-3.19, 1 Hg 3.11
Hg: 0.5000 0.5000 0.0000  4 Cd 3.08, 2 Ba 3.39
Hg: 0.7818 0.0149 0.2966  3 Cd 3.10-3.19, 1 Hg 3.11
Hg: 0.4851 0.7182 0.7034  3 Cd 3.10-3.19, 1 Hg 3.11
Hg: 0.0149 0.5149 0.2966  3 Cd 3.10-3.19, 1 Hg 3.11
Hg: 0.7182 0.2182 0.7034  3 Cd 3.10-3.19, 1 Hg 3.11
Hg: 0.2182 0.9851 0.7034  3 Cd 3.10-3.19, 1 Hg 3.11
Hg: 0.2818 0.7818 0.2966  3 Cd 3.10-3.19, 1 Hg 3.11
Hg: 0.5149 0.2818 0.2966  3 Cd 3.10-3.19, 1 Hg 3.11
Cd: 0.1644 0.3356 0.0000  8 Hg 3.08-3.19
Cd: 0.3356 0.8356 0.0000  8 Hg 3.08-3.19
Cd: 0.6644 0.1644 0.0000  8 Hg 3.08-3.19
Cd: 0.8356 0.6644 0.0000  8 Hg 3.08-3.19
Ba: 0.2500 0.2500 0.5000  10 Hg 3.39-3.50
Ba: 0.7500 0.7500 0.5000  10 Hg 3.39-3.50

The crystal system is tetragonal. The space group is I4/mcm. As for the relative energy among the computed polymorphs: 28 meV per atom.

---

[3]
First-principles (PBE) data for a relaxed Ba3CdHg crystal, as listed in Alexandria via LeMat-Bulk.

Cell lengths 6.0366, 6.0351, 12.1881 Å; angles 90.00, 75.66, 90.00 degrees
With the nearest neighbours (Å) after each atom.
Positions (direct):
Ba: 0.7486 0.2500 0.1512  2 Hg 3.58, 2 Cd 3.60
Ba: 0.2488 0.7500 0.1508  2 Hg 3.58, 2 Cd 3.60
Ba: 0.0741 0.7500 0.5000  4 Cd 3.71, 4 Hg 3.73, 2 Ba 4.12
Ba: 0.8998 0.7500 0.8488  2 Hg 3.58, 2 Cd 3.60
Ba: 0.3996 0.2500 0.8492  2 Hg 3.58, 2 Cd 3.60
Ba: 0.5742 0.2500 0.5000  4 Cd 3.71, 4 Hg 3.73, 2 Ba 4.12
Cd: 0.1659 0.2500 0.3166  8 Ba 3.60-3.71
Cd: 0.4825 0.7500 0.6834  8 Ba 3.60-3.71
Hg: 0.9811 0.2500 0.6862  8 Ba 3.58-3.73
Hg: 0.6673 0.7500 0.3138  8 Ba 3.58-3.73

The crystal system is orthorhombic. The space group is Cmcm. As for the relative energy among the computed polymorphs: 0 meV per atom.

---

[4]
First-principles (PBE) data for a relaxed Ba2Cd2Hg15 crystal, as listed in Alexandria via LeMat-Bulk.

Cell lengths 8.4061, 8.4061, 8.4061 Å; angles 74.74, 74.74, 74.74 degrees
With the nearest neighbours (Å) after each atom.
Positions (direct):
Hg: 0.2907 0.7093 0.0000  4 Hg 2.97-3.11
Hg: 0.6031 0.1667 0.6031  6 Hg 2.99-3.24
Hg: 0.5000 0.0000 0.0000  2 Cd 3.22, 8 Hg 3.24-3.37
Hg: 0.0000 0.7093 0.2907  4 Hg 2.97-3.11
Hg: 0.2907 0.0000 0.7093  4 Hg 2.97-3.11
Hg: 0.8333 0.3969 0.3969  6 Hg 2.99-3.24
Hg: 0.1667 0.6031 0.6031  6 Hg 2.99-3.24
Hg: 0.3969 0.3969 0.8333  6 Hg 2.99-3.24
Hg: 0.0000 0.2907 0.7093  4 Hg 2.97-3.11
Hg: 0.7093 0.2907 0.0000  4 Hg 2.97-3.11
Hg: 0.0000 0.0000 0.5000  2 Cd 3.22, 8 Hg 3.24-3.37
Hg: 0.6031 0.6031 0.1667  6 Hg 2.99-3.24
Hg: 0.3969 0.8333 0.3969  6 Hg 2.99-3.24
Hg: 0.7093 0.0000 0.2907  4 Hg 2.97-3.11
Hg: 0.0000 0.5000 0.0000  2 Cd 3.22, 8 Hg 3.24-3.37
Cd: 0.0944 0.0944 0.0944  9 Hg 3.22-3.42, 1 Cd 3.40
Cd: 0.9056 0.9056 0.9056  9 Hg 3.22-3.42, 1 Cd 3.40
Ba: 0.3053 0.3053 0.3053  15 Hg 3.67-3.86, 1 Cd 3.79
Ba: 0.6947 0.6947 0.6947  15 Hg 3.67-3.86, 1 Cd 3.79

The crystal system is trigonal. The space group is R-3m.

---

Record-wise V values, in Å³/atom: 30.00; 28.86; 43.02; 28.46
Record-wise formation enthalpy at 0 K values, in kJ/mol of atoms: -6.7; -16.9; -33.9; -17.4